[1]
TbSi2NiRh | PBE | optimized geometry

Cell: 5.7190 5.7190 5.7190 Å, 139.11 139.11 59.20°
Atoms (fractional coordinates):
1 Tb 0.0000 0.0000 0.0000
2 Si 0.3791 0.3791 0.0000
3 Si 0.6209 0.6209 0.0000
4 Ni 0.7500 0.2500 0.5000
5 Rh 0.2500 0.7500 0.5000

Results
E   -6.6736 eV per atom
Crystal system   tetragonal

[2]
Tb2Si3Ni12Rh | PBE | optimized geometry

Cell: 6.2692 6.2692 6.2692 Å, 85.19 85.19 85.19°
Atoms (fractional coordinates):
1 Tb 0.1738 0.1738 0.1738
2 Tb 0.8262 0.8262 0.8262
3 Si 0.0000 0.5000 0.5000
4 Si 0.5000 0.0000 0.5000
5 Si 0.5000 0.5000 0.0000
6 Ni 0.1102 0.1102 0.6047
7 Ni 0.1102 0.6047 0.1102
8 Ni 0.1984 0.6919 0.6919
9 Ni 0.3081 0.3081 0.8016
10 Ni 0.3081 0.8016 0.3081
11 Ni 0.3953 0.8898 0.8898
12 Ni 0.6047 0.1102 0.1102
13 Ni 0.6919 0.1984 0.6919
14 Ni 0.6919 0.6919 0.1984
15 Ni 0.8016 0.3081 0.3081
16 Ni 0.8898 0.3953 0.8898
17 Ni 0.8898 0.8898 0.3953
18 Rh 0.5000 0.5000 0.5000

Results
E   -5.7654 eV per atom
Crystal system   trigonal

[3]
SiNi2TeRh | PBE | optimized geometry

Cell: 4.6942 4.6942 4.4228 Å, 90.00 90.00 90.00°
Atoms (fractional coordinates):
1 Si 0.0000 0.0000 0.0000
2 Ni 0.0000 0.5000 0.5000
3 Ni 0.5000 0.0000 0.5000
4 Te 0.5000 0.5000 0.0000
5 Rh 0.0000 0.0000 0.5000

Results
E   -4.8237 eV per atom
Crystal system   tetragonal

[4]
ThSi2NiRh5 | PBE | optimized geometry

Cell: 4.5165 4.5165 7.1813 Å, 90.00 90.00 90.00°
Atoms (fractional coordinates):
1 Th 0.0000 0.0000 0.0000
2 Si 0.5000 0.5000 0.3349
3 Si 0.5000 0.5000 0.6651
4 Ni 0.0000 0.0000 0.5000
5 Rh 0.0000 0.5000 0.2839
6 Rh 0.0000 0.5000 0.7161
7 Rh 0.5000 0.0000 0.2839
8 Rh 0.5000 0.0000 0.7161
9 Rh 0.5000 0.5000 0.0000

Results
E   -7.1819 eV per atom
Crystal system   tetragonal

[5]
ThSiNiRh | PBE | optimized geometry

Cell: 4.2411 4.8837 4.8837 Å, 45.73 90.00 90.00°
Atoms (fractional coordinates):
1 Th 0.0000 0.0000 0.0000
2 Si 0.5000 0.6413 0.6413
3 Ni 0.0000 0.7234 0.7234
4 Rh 0.5000 0.3244 0.3244

Results
E   -7.0942 eV per atom
Crystal system   orthorhombic

[6]
Th2Si4Ni3Rh | PBE | optimized geometry

Cell: 4.0854 4.0854 9.6952 Å, 90.00 90.00 90.00°
Atoms (fractional coordinates):
1 Th 0.0000 0.5000 0.2457
2 Th 0.5000 0.0000 0.7543
3 Si 0.0000 0.0000 0.0000
4 Si 0.0000 0.5000 0.6353
5 Si 0.5000 0.0000 0.3647
6 Si 0.5000 0.5000 0.0000
7 Ni 0.0000 0.5000 0.8813
8 Ni 0.5000 0.0000 0.1187
9 Ni 0.5000 0.5000 0.5000
10 Rh 0.0000 0.0000 0.5000

Results
E   -7.0407 eV per atom
Crystal system   tetragonal

[7]
Th4Si3NiRh12 | PBE | optimized geometry

Cell: 7.8279 7.8279 7.8279 Å, 109.47 109.47 109.47°
Atoms (fractional coordinates):
1 Th 0.0000 0.0000 0.5000
2 Th 0.0000 0.5000 0.0000
3 Th 0.5000 0.0000 0.0000
4 Th 0.5000 0.5000 0.5000
5 Si 0.0000 0.5000 0.5000
6 Si 0.5000 0.0000 0.5000
7 Si 0.5000 0.5000 0.0000
8 Ni 0.0000 0.0000 0.0000
9 Rh 0.0000 0.2576 0.2576
10 Rh 0.0000 0.7424 0.7424
11 Rh 0.2500 0.5000 0.7500
12 Rh 0.2500 0.7500 0.5000
13 Rh 0.2576 0.0000 0.2576
14 Rh 0.2576 0.2576 0.0000
15 Rh 0.5000 0.2500 0.7500
16 Rh 0.5000 0.7500 0.2500
17 Rh 0.7424 0.0000 0.7424
18 Rh 0.7424 0.7424 0.0000
19 Rh 0.7500 0.2500 0.5000
20 Rh 0.7500 0.5000 0.2500

Results
E   -7.5738 eV per atom
Crystal system   cubic

[8]
Th2Si3NiRh4 | PBE | optimized geometry

Cell: 4.1437 4.1437 10.1109 Å, 90.00 90.00 90.00°
Atoms (fractional coordinates):
1 Th 0.0000 0.5000 0.2391
2 Th 0.5000 0.0000 0.7609
3 Si 0.0000 0.0000 0.0000
4 Si 0.0000 0.5000 0.6265
5 Si 0.5000 0.0000 0.3735
6 Ni 0.5000 0.5000 0.0000
7 Rh 0.0000 0.0000 0.5000
8 Rh 0.0000 0.5000 0.8628
9 Rh 0.5000 0.0000 0.1372
10 Rh 0.5000 0.5000 0.5000

Results
E   -7.5800 eV per atom
Crystal system   tetragonal

[9]
Th2Si3Ni12Rh | PBE | optimized geometry

Cell: 6.3335 6.3335 6.3335 Å, 84.54 84.54 84.54°
Atoms (fractional coordinates):
1 Th 0.1647 0.1647 0.1647
2 Th 0.8353 0.8353 0.8353
3 Si 0.0000 0.5000 0.5000
4 Si 0.5000 0.0000 0.5000
5 Si 0.5000 0.5000 0.0000
6 Ni 0.1155 0.1155 0.5995
7 Ni 0.1155 0.5995 0.1155
8 Ni 0.1950 0.6925 0.6925
9 Ni 0.3075 0.3075 0.8050
10 Ni 0.3075 0.8050 0.3075
11 Ni 0.4005 0.8845 0.8845
12 Ni 0.5995 0.1155 0.1155
13 Ni 0.6925 0.1950 0.6925
14 Ni 0.6925 0.6925 0.1950
15 Ni 0.8050 0.3075 0.3075
16 Ni 0.8845 0.4005 0.8845
17 Ni 0.8845 0.8845 0.4005
18 Rh 0.5000 0.5000 0.5000

Results
E   -6.0966 eV per atom
Crystal system   trigonal

[10]
Th2Si3Ni4Rh | PBE | optimized geometry

Cell: 4.0022 4.0022 10.0276 Å, 90.00 90.00 90.00°
Atoms (fractional coordinates):
1 Th 0.0000 0.5000 0.2505
2 Th 0.5000 0.0000 0.7495
3 Si 0.0000 0.0000 0.0000
4 Si 0.0000 0.5000 0.6198
5 Si 0.5000 0.0000 0.3802
6 Ni 0.0000 0.0000 0.5000
7 Ni 0.0000 0.5000 0.8525
8 Ni 0.5000 0.0000 0.1475
9 Ni 0.5000 0.5000 0.5000
10 Rh 0.5000 0.5000 0.0000

Results
E   -6.9049 eV per atom
Crystal system   tetragonal

[11]
ThSi2NiRh | PBE | optimized geometry

Cell: 5.7405 5.7405 5.7405 Å, 138.01 138.01 60.88°
Atoms (fractional coordinates):
1 Th 0.0000 0.0000 0.0000
2 Si 0.3762 0.3762 0.0000
3 Si 0.6238 0.6238 0.0000
4 Ni 0.2500 0.7500 0.5000
5 Rh 0.7500 0.2500 0.5000

Results
E   -7.2123 eV per atom
Crystal system   tetragonal

[12]
TiSiNiRh | PBE | optimized geometry

Cell: 4.2122 4.2122 4.2122 Å, 60.00 60.00 60.00°
Atoms (fractional coordinates):
1 Ti 0.0000 0.0000 0.0000
2 Si 0.5000 0.5000 0.5000
3 Ni 0.7500 0.7500 0.7500
4 Rh 0.2500 0.2500 0.2500

Results
E   -7.2981 eV per atom
Crystal system   cubic

[13]
TlSi2NiRh | PBE | optimized geometry

Cell: 4.1926 4.1926 5.2079 Å, 90.00 90.00 90.00°
Atoms (fractional coordinates):
1 Tl 0.0000 0.0000 0.0000
2 Si 0.0000 0.5000 0.5000
3 Si 0.5000 0.0000 0.5000
4 Ni 0.5000 0.5000 0.5000
5 Rh 0.5000 0.5000 0.0000

Results
E   -4.9152 eV per atom
Crystal system   tetragonal

[14]
Tm3Si6Ni2Rh | PBE | optimized geometry

Cell: 5.5701 5.5701 7.8007 Å, 90.00 90.00 120.00°
Atoms (fractional coordinates):
1 Tm 0.0000 0.0000 0.0000
2 Tm 0.3333 0.6667 0.6075
3 Tm 0.6667 0.3333 0.3925
4 Si 0.1878 0.3757 0.2804
5 Si 0.1878 0.8122 0.2804
6 Si 0.3757 0.1878 0.7196
7 Si 0.6243 0.8122 0.2804
8 Si 0.8122 0.1878 0.7196
9 Si 0.8122 0.6243 0.7196
10 Ni 0.3333 0.6667 0.0403
11 Ni 0.6667 0.3333 0.9597
12 Rh 0.0000 0.0000 0.5000

Results
E   -5.8076 eV per atom
Crystal system   trigonal

[15]
Tm2Si3Ni12Rh | PBE | optimized geometry

Cell: 6.2387 6.2387 6.2387 Å, 85.02 85.02 85.02°
Atoms (fractional coordinates):
1 Tm 0.1796 0.1796 0.1796
2 Tm 0.8204 0.8204 0.8204
3 Si 0.0000 0.5000 0.5000
4 Si 0.5000 0.0000 0.5000
5 Si 0.5000 0.5000 0.0000
6 Ni 0.1081 0.1081 0.6074
7 Ni 0.1081 0.6074 0.1081
8 Ni 0.1961 0.6931 0.6931
9 Ni 0.3069 0.3069 0.8039
10 Ni 0.3069 0.8039 0.3069
11 Ni 0.3926 0.8919 0.8919
12 Ni 0.6074 0.1081 0.1081
13 Ni 0.6931 0.1961 0.6931
14 Ni 0.6931 0.6931 0.1961
15 Ni 0.8039 0.3069 0.3069
16 Ni 0.8919 0.3926 0.8919
17 Ni 0.8919 0.8919 0.3926
18 Rh 0.5000 0.5000 0.5000

Results
E   -5.7842 eV per atom
Crystal system   trigonal

[16]
TmSi2NiRh2 | PBE | optimized geometry

Cell: 4.2562 4.2562 5.4312 Å, 90.00 90.00 90.00°
Atoms (fractional coordinates):
1 Tm 0.0000 0.0000 0.0000
2 Si 0.0000 0.5000 0.5000
3 Si 0.5000 0.0000 0.5000
4 Ni 0.0000 0.0000 0.5000
5 Rh 0.5000 0.5000 0.2458
6 Rh 0.5000 0.5000 0.7542

Results
E   -6.4721 eV per atom
Crystal system   tetragonal

[17]
Tm2Si4NiRh3 | PBE | optimized geometry

Cell: 4.0105 4.0105 10.0220 Å, 90.00 90.00 90.00°
Atoms (fractional coordinates):
1 Tm 0.0000 0.5000 0.2486
2 Tm 0.5000 0.0000 0.7514
3 Si 0.0000 0.0000 0.0000
4 Si 0.0000 0.5000 0.6303
5 Si 0.5000 0.0000 0.3697
6 Si 0.5000 0.5000 0.0000
7 Ni 0.0000 0.0000 0.5000
8 Rh 0.0000 0.5000 0.8672
9 Rh 0.5000 0.0000 0.1328
10 Rh 0.5000 0.5000 0.5000

Results
E   -6.8011 eV per atom
Crystal system   tetragonal

[18]
TmSi2NiRh | PBE | optimized geometry

Cell: 5.6847 5.6847 5.6847 Å, 139.23 139.23 59.02°
Atoms (fractional coordinates):
1 Tm 0.0000 0.0000 0.0000
2 Si 0.3807 0.3807 0.0000
3 Si 0.6193 0.6193 0.0000
4 Ni 0.2500 0.7500 0.5000
5 Rh 0.7500 0.2500 0.5000

Results
E   -6.6360 eV per atom
Crystal system   tetragonal

[19]
TmSiNiRh | PBE | optimized geometry

Cell: 4.2226 4.9075 4.9075 Å, 43.96 90.00 90.00°
Atoms (fractional coordinates):
1 Tm 0.0000 0.0000 0.0000
2 Si 0.5000 0.6103 0.6103
3 Ni 0.5000 0.2716 0.2716
4 Rh 0.0000 0.7205 0.7205

Results
E   -6.2498 eV per atom
Crystal system   orthorhombic

[20]
USi4Ni2Rh | PBE | optimized geometry

Cell: 8.9842 8.9842 8.9842 Å, 25.21 25.21 25.21°
Atoms (fractional coordinates):
1 U 0.0000 0.0000 0.0000
2 Si 0.1208 0.1208 0.1208
3 Si 0.4012 0.4012 0.4012
4 Si 0.5988 0.5988 0.5988
5 Si 0.8792 0.8792 0.8792
6 Ni 0.2390 0.2390 0.2390
7 Ni 0.7610 0.7610 0.7610
8 Rh 0.5000 0.5000 0.5000

Results
E   -6.9199 eV per atom
Crystal system   trigonal

[21]
USi2NiRh2 | PBE | optimized geometry

Cell: 4.2889 4.2889 5.3888 Å, 90.00 90.00 90.00°
Atoms (fractional coordinates):
1 U 0.0000 0.0000 0.0000
2 Si 0.0000 0.5000 0.5000
3 Si 0.5000 0.0000 0.5000
4 Ni 0.0000 0.0000 0.5000
5 Rh 0.5000 0.5000 0.2451
6 Rh 0.5000 0.5000 0.7549

Results
E   -7.3715 eV per atom
Crystal system   tetragonal

[22]
YSiNiRh | PBE | optimized geometry

Cell: 4.2074 5.0595 5.0595 Å, 43.33 90.00 90.00°
Atoms (fractional coordinates):
1 Y 0.0000 0.0000 0.0000
2 Si 0.5000 0.6171 0.6171
3 Ni 0.5000 0.2605 0.2605
4 Rh 0.0000 0.7232 0.7232

Results
E   -6.7273 eV per atom
Crystal system   orthorhombic

[23]
YSi3NiRh | PBE | optimized geometry

Cell: 7.5887 7.5887 5.5402 Å, 90.00 90.00 136.28°
Atoms (fractional coordinates):
1 Y 0.1910 0.8090 0.7500
2 Y 0.8090 0.1910 0.2500
3 Si 0.2234 0.2234 0.0000
4 Si 0.2234 0.2234 0.5000
5 Si 0.2534 0.7466 0.2500
6 Si 0.7466 0.2534 0.7500
7 Si 0.7766 0.7766 0.0000
8 Si 0.7766 0.7766 0.5000
9 Ni 0.0971 0.9029 0.2500
10 Ni 0.9029 0.0971 0.7500
11 Rh 0.4165 0.5835 0.2500
12 Rh 0.5835 0.4165 0.7500

Results
E   -6.4784 eV per atom
Crystal system   orthorhombic